The following is a DFT calculation (PBE) of a relaxed structure of K2CdNi.

a = 5.4313 Å, b = 5.4313 Å, c = 7.6573 Å
α = 90.00°, β = 90.00°, γ = 90.00°
Closest atoms and distances in Å follow each position.
Space group I-4m2 (No. 119)
Unique sites:
K (0.0000, 0.0000, 0.0000)  4 K 3.32, 4 Ni 3.32
K (0.0000, 0.5000, 0.2500)  4 Cd 3.32, 4 K 3.32
Cd (0.0000, 0.0000, 0.5000)  4 K 3.32, 4 Ni 3.32
Ni (0.0000, 0.5000, 0.7500)  4 K 3.32, 4 Cd 3.32

Results
Calculated density   3.67 g/cm³
Spin magnetization   0.000 μB per atom
ΔE_f   0.455 eV/atom

---

The following is a DFT calculation (PBE) of a relaxed structure of KCd3Ni.

a = 5.1210 Å, b = 5.1210 Å, c = 5.1210 Å
α = 90.00°, β = 90.00°, γ = 90.00°
Closest atoms and distances in Å follow each position.
Space group Pm-3m (No. 221)
Unique sites:
K (0.0000, 0.0000, 0.0000)  12 Cd 3.62
Cd (0.0000, 0.5000, 0.5000)  2 Ni 2.56
Ni (0.5000, 0.5000, 0.5000)  6 Cd 2.56

Results
Calculated density   5.38 g/cm³
Energy above the most stable polymorph in this dataset   0.00 eV per formula unit
Spin magnetization   0.000 μB per atom
ΔE_f   -0.029 eV/atom

---

The following is a DFT calculation (PBE) of a relaxed structure of KCdNi2.

a = 10.0449 Å, b = 2.8542 Å, c = 6.2788 Å
α = 90.00°, β = 103.83°, γ = 90.00°
Closest atoms and distances in Å follow each position.
Space group Cm (No. 8)
Unique sites:
K (0.0000, 0.0000, 0.0000)  2 K 2.85, 1 Ni 3.07
Cd (0.3094, 0.5000, 0.4320)  5 Ni 2.64-2.83, 2 Cd 2.85
Ni (0.0386, 0.5000, 0.4902)  2 Ni 2.34
Ni (0.2022, 0.0000, 0.7024)  2 Ni 2.34

Results
Calculated density   5.11 g/cm³
Spin magnetization   0.033 μB per atom
ΔE_f   0.437 eV/atom

---

The following is a DFT calculation (PBE) of a relaxed structure of KCdNi2.

a = 2.9487 Å, b = 5.3840 Å, c = 9.8848 Å
α = 90.00°, β = 90.00°, γ = 90.00°
Closest atoms and distances in Å follow each position.
Space group Immm (No. 71)
Unique sites:
K (0.0000, 0.0000, 0.0000)  2 K 2.95, 4 Cd 3.07, 4 Ni 3.13
Cd (0.0000, 0.0000, 0.5000)  4 Ni 2.63
Ni (0.0000, 0.5000, 0.2201)  2 Cd 2.63

Results
Calculated density   5.69 g/cm³
Spin magnetization   0.074 μB per atom
ΔE_f   0.713 eV/atom

---

The following is a DFT calculation (PBE) of a relaxed structure of K2CdNi.

a = 6.1179 Å, b = 8.7426 Å, c = 4.5637 Å
α = 90.00°, β = 90.16°, γ = 90.00°
Closest atoms and distances in Å follow each position.
Space group C2/m (No. 12)
Unique sites:
K (0.2500, 0.2500, 0.0000)  2 K 3.06
Cd (0.0000, 0.0000, 0.5000)  2 Ni 3.06
Ni (0.0000, 0.5000, 0.5000)  2 Cd 3.06

Results
Calculated density   3.39 g/cm³
Spin magnetization   0.030 μB per atom
ΔE_f   0.512 eV/atom

---

The following is a DFT calculation (PBE) of a relaxed structure of K2CdNi.

a = 3.5896 Å, b = 3.5896 Å, c = 33.4639 Å
α = 90.00°, β = 90.00°, γ = 120.00°
Closest atoms and distances in Å follow each position.
Space group R-3m (No. 166, hexagonal axes)
Unique sites:
K (0.0000, 0.0000, 0.2381)  3 Ni 3.16
Cd (0.0000, 0.0000, 0.0000)  6 Cd 3.59, 6 K 3.80
Ni (0.0000, 0.0000, 0.5000)  6 K 3.16

Results
Calculated density   3.33 g/cm³
Spin magnetization   0.000 μB per atom
ΔE_f   0.613 eV/atom

---

The following is a DFT calculation (PBE) of a relaxed structure of KCdNi2.

a = 2.9806 Å, b = 2.9806 Å, c = 28.5707 Å
α = 90.00°, β = 90.00°, γ = 120.00°
Closest atoms and distances in Å follow each position.
Space group R-3m (No. 166, hexagonal axes)
Unique sites:
K (0.0000, 0.0000, 0.0000)  6 K 2.98, 6 Ni 3.19
Cd (0.0000, 0.0000, 0.5000)  6 Ni 2.69, 6 Cd 2.98
Ni (0.0000, 0.0000, 0.2392)  3 Cd 2.69, 6 Ni 2.98

Results
Calculated density   6.09 g/cm³
Spin magnetization   0.000 μB per atom
ΔE_f   0.653 eV/atom

---

The following is a DFT calculation (PBE) of a relaxed structure of KCd3Ni.

a = 6.5069 Å, b = 6.5069 Å, c = 6.5069 Å
α = 90.00°, β = 90.00°, γ = 90.00°
Closest atoms and distances in Å follow each position.
Space group Pm-3m (No. 221)
Unique sites:
K (0.0000, 0.0000, 0.0000)  6 Cd 3.25
Cd (0.0000, 0.0000, 0.5000)  2 K 3.25
Ni (0.5000, 0.5000, 0.5000)  12 Cd 4.60

Results
Calculated density   2.62 g/cm³
Energy above the most stable polymorph in this dataset   6.01 eV per formula unit
Spin magnetization   0.223 μB per atom
ΔE_f   1.174 eV/atom